1.
Below is crystalline BaLiNiCl6 at its relaxed geometry, with properties calculated at the GGA-PBE level.

It has space group P1 (No. 1), with a = 6.307 Å, b = 6.331 Å, c = 6.623 Å, α = 91.40°, β = 91.65° and γ = 116.08°. The inequivalent atoms are Ba at (0.000, 0.000, 0.000), Li at (0.322, 0.681, 0.501), Ni at (0.668, 0.333, 0.502), Cl at (0.387, 0.358, 0.304), Cl at (0.397, 0.022, 0.731), Cl at (0.641, 0.611, 0.700), Cl at (0.643, 0.024, 0.311), Cl at (0.978, 0.607, 0.274) and Cl at (0.980, 0.362, 0.694).



2.
Below is crystalline BaLiP2Cl at its relaxed geometry, with properties calculated at the GGA-PBE level.

It has space group P4/mmm (No. 123), with a = 6.287 Å, b = 6.287 Å, c = 5.916 Å, α = 90.00°, β = 90.00° and γ = 90.00°. The inequivalent atoms are Ba at (0.000, 0.000, 0.000), Li at (0.500, 0.500, 0.500), P at (0.000, 0.500, 0.000) and Cl at (0.000, 0.000, 0.500).



3.
Below is crystalline BaLiP2Cl at its relaxed geometry, with properties calculated at the GGA-PBE level.

It has space group P4/mmm (No. 123), with a = 4.460 Å, b = 4.460 Å, c = 6.033 Å, α = 90.00°, β = 90.00° and γ = 90.00°. The inequivalent atoms are Ba at (0.000, 0.000, 0.000), Li at (0.500, 0.500, 0.500), P at (0.000, 0.500, 0.500) and Cl at (0.500, 0.500, 0.000).



Formation energy without anion corrections: -1394; 216; -555 (meV per atom)
Magnetization: 0.1106; 0.8027; 0.0000 (μB per atom)